The following is a PBE-GGA calculation of crystalline Zr2As2O5 at its relaxed geometry, from the Open Quantum Materials Database.

The energy above the most stable polymorph in this dataset is 0 meV per atom. The value obtained for the magnetic moment is 0.00 μB/f.u. The value obtained for the density is 5.65 g/cm³.

It has space group P4/mmm (No. 123), with a = 3.7394 Å, b = 3.7394 Å, c = 8.6656 Å, α = 90.00°, β = 90.00° and γ = 90.00°. The asymmetric unit holds Zr at (0.0000, 0.0000, 0.2322), As at (0.5000, 0.5000, 0.0000), As at (0.5000, 0.5000, 0.5000), O at (0.0000, 0.0000, 0.0000) and O at (0.0000, 0.5000, 0.3469).

The following is a PBE-GGA calculation of crystalline Y4FeC3 at its relaxed geometry, from the Open Quantum Materials Database.

The value obtained for the magnetic moment is 2.94 μB/f.u. The value obtained for the density is 5.08 g/cm³. As for the raw total energy: -7.662 eV/atom.

It has space group P6_3/mmc (No. 194), with a = 3.5650 Å, b = 3.5650 Å, c = 26.5850 Å, α = 90.00°, β = 90.00° and γ = 120.00°. The asymmetric unit holds Y at (0.0000, 0.0000, 0.1628), Y at (0.3333, 0.6667, 0.0560), Fe at (0.3333, 0.6667, 0.2500), C at (0.0000, 0.0000, 0.0000) and C at (0.3333, 0.6667, 0.6154).

The following is a PBE-GGA calculation of crystalline Ba3LaTa2O9 at its relaxed geometry, from the Open Quantum Materials Database.

The value obtained for the magnetic moment is 0.04 μB/f.u. The value obtained for the density is 7.64 g/cm³. As for the raw total energy: -8.242 eV/atom.

It has space group P-3m1 (No. 164), with a = 5.9793 Å, b = 5.9793 Å, c = 7.4209 Å, α = 90.00°, β = 90.00° and γ = 120.00°. The asymmetric unit holds Ba at (0.0000, 0.0000, 0.0000), Ba at (0.3333, 0.6667, 0.6716), La at (0.0000, 0.0000, 0.5000), Ta at (0.3333, 0.6667, 0.1556), O at (0.0000, 0.5000, 0.0000) and O at (0.1784, 0.3568, 0.3092).

The following is a PBE-GGA calculation of crystalline K2Sb2Mo at its relaxed geometry, from the Open Quantum Materials Database.

The value obtained for the magnetic moment is 1.05 μB/f.u. The value obtained for the density is 4.20 g/cm³. As for the raw total energy: -4.298 eV/atom.

It has space group Cmcm (No. 63), with a = 7.1092 Å, b = 17.0929 Å, c = 5.4354 Å, α = 90.00°, β = 90.00° and γ = 90.00°. The asymmetric unit holds K at (0.0000, 0.0755, 0.2500), K at (0.0000, 0.2867, 0.7500), Sb at (0.2211, 0.3900, 0.2500) and Mo at (0.0000, 0.5000, 0.0000).

The following is a PBE-GGA calculation of crystalline TcSb2Pd at its relaxed geometry, from the Open Quantum Materials Database.

The value obtained for the magnetic moment is 0.05 μB/f.u. The value obtained for the density is 9.57 g/cm³. As for the raw total energy: -5.462 eV/atom.

It has space group F-43m (No. 216), with a = 6.7746 Å, b = 6.7746 Å, c = 6.7746 Å, α = 90.00°, β = 90.00° and γ = 90.00°. The asymmetric unit holds Tc at (0.0000, 0.0000, 0.0000), Sb at (0.0000, 0.0000, 0.5000), Sb at (0.2500, 0.2500, 0.7500) and Pd at (0.2500, 0.2500, 0.2500).

The following is a PBE-GGA calculation of crystalline Cu4Ag at its relaxed geometry, from the Open Quantum Materials Database.

The calculation puts the energy of formation at 77 meV per atom. The energy above the most stable polymorph in this dataset is 33 meV per atom. The value obtained for the density is 9.20 g/cm³.

It has space group P2_1/m (No. 11), with a = 4.5348 Å, b = 2.6906 Å, c = 10.7916 Å, α = 90.00°, β = 96.77° and γ = 90.00°. The asymmetric unit holds Cu at (0.0503, 0.2500, 0.3944), Cu at (0.1386, 0.7500, 0.1933), Cu at (0.2472, 0.2500, 0.0034), Cu at (0.3476, 0.7500, 0.8159) and Ag at (0.4462, 0.2500, 0.6110).

The following is a PBE-GGA calculation of crystalline PrNdF3 at its relaxed geometry, from the Open Quantum Materials Database.

The value obtained for the magnetic moment is 0.00 μB/f.u. The value obtained for the density is 6.45 g/cm³. As for the raw total energy: -6.160 eV/atom.

It has space group C2/m (No. 12), with a = 13.3726 Å, b = 3.8538 Å, c = 6.9726 Å, α = 90.00°, β = 101.40° and γ = 90.00°. The asymmetric unit holds Pr at (0.1210, 0.0000, 0.3470), Nd at (0.1052, 0.5000, 0.8883), F at (0.0666, 0.0000, 0.6692), F at (0.1931, 0.0000, 0.0519) and F at (0.1959, 0.5000, 0.5883).

The following is a PBE-GGA calculation of crystalline SmYB at its relaxed geometry, from the Open Quantum Materials Database.

The energy above the most stable polymorph in this dataset is 0 meV per atom. The value obtained for the magnetic moment is 0.02 μB/f.u. The value obtained for the density is 6.08 g/cm³.

It has space group F-43m (No. 216), with a = 6.4873 Å, b = 6.4873 Å, c = 6.4873 Å, α = 90.00°, β = 90.00° and γ = 90.00°. The asymmetric unit holds Sm at (0.0000, 0.0000, 0.0000), Y at (0.0000, 0.0000, 0.5000) and B at (0.2500, 0.2500, 0.2500).

The following is a PBE-GGA calculation of crystalline BaBiAu at its relaxed geometry, from the Open Quantum Materials Database.

The value obtained for the density is 8.92 g/cm³. As for the raw total energy: -3.882 eV/atom.

It has space group P6_3/mmc (No. 194), with a = 4.9750 Å, b = 4.9750 Å, c = 9.4326 Å, α = 90.00°, β = 90.00° and γ = 120.00°. The asymmetric unit holds Ba at (0.0000, 0.0000, 0.0000), Bi at (0.3333, 0.6667, 0.2500) and Au at (0.3333, 0.6667, 0.7500).

The following is a PBE-GGA calculation of crystalline TcB4Mo at its relaxed geometry, from the Open Quantum Materials Database.

The value obtained for the magnetic moment is 0.07 μB/f.u. The value obtained for the density is 7.49 g/cm³. As for the raw total energy: -8.146 eV/atom.

It has space group Immm (No. 71), with a = 2.9992 Å, b = 5.1764 Å, c = 6.7726 Å, α = 90.00°, β = 90.00° and γ = 90.00°. The asymmetric unit holds Tc at (0.0000, 0.0000, 0.0000), B at (0.0000, 0.3325, 0.2486) and Mo at (0.0000, 0.0000, 0.5000).

The following is a PBE-GGA calculation of crystalline ZrNi at its relaxed geometry, from the Open Quantum Materials Database.

The calculation puts the energy of formation at -214 meV per atom. The value obtained for the magnetic moment is 0.00 μB/f.u. The value obtained for the density is 7.55 g/cm³.

It has space group Pmc2_1 (No. 26), with a = 4.5416 Å, b = 8.9309 Å, c = 4.8806 Å, α = 90.00°, β = 90.00° and γ = 90.00°. The asymmetric unit holds Zr at (0.0000, 0.0558, 0.0000), Zr at (0.0000, 0.2965, 0.4568), Zr at (0.5000, 0.2686, 0.9099), Ni at (0.0000, 0.4110, 0.9701), Ni at (0.5000, 0.1076, 0.4138) and Ni at (0.5000, 0.4398, 0.3543).

The following is a PBE-GGA calculation of crystalline ScSi2Tc2 at its relaxed geometry, from the Open Quantum Materials Database.

The energy above the most stable polymorph in this dataset is 0 meV per atom. The value obtained for the magnetic moment is 0.01 μB/f.u. The value obtained for the density is 6.66 g/cm³.

It has space group P4/mbm (No. 127), with a = 7.0004 Å, b = 7.0004 Å, c = 3.0245 Å, α = 90.00°, β = 90.00° and γ = 90.00°. The asymmetric unit holds Sc at (0.0000, 0.0000, 0.0000), Si at (0.1343, 0.3657, 0.0000) and Tc at (0.1550, 0.6550, 0.5000).

The following is a PBE-GGA calculation of crystalline HoFe2SiP at its relaxed geometry, from the Open Quantum Materials Database.

The value obtained for the magnetic moment is 0.01 μB/f.u. The value obtained for the density is 7.87 g/cm³. As for the raw total energy: -7.292 eV/atom.

It has space group I4mm (No. 107), with a = 3.8799 Å, b = 3.8799 Å, c = 9.4057 Å, α = 90.00°, β = 90.00° and γ = 90.00°. The asymmetric unit holds Ho at (0.0000, 0.0000, 0.0000), Fe at (0.0000, 0.5000, 0.2456), Si at (0.0000, 0.0000, 0.3690) and P at (0.0000, 0.0000, 0.6334).

The following is a PBE-GGA calculation of crystalline LuGaPdAu at its relaxed geometry, from the Open Quantum Materials Database.

The energy above the most stable polymorph in this dataset is 0 meV per atom. The value obtained for the magnetic moment is 0.00 μB/f.u. The value obtained for the density is 12.34 g/cm³.

It has space group F-43m (No. 216), with a = 6.6568 Å, b = 6.6568 Å, c = 6.6568 Å, α = 90.00°, β = 90.00° and γ = 90.00°. The asymmetric unit holds Lu at (0.0000, 0.0000, 0.0000), Ga at (0.0000, 0.0000, 0.5000), Pd at (0.2500, 0.2500, 0.2500) and Au at (0.2500, 0.2500, 0.7500).

The following is a PBE-GGA calculation of crystalline NdTcAsO at its relaxed geometry, from the Open Quantum Materials Database.

The energy above the most stable polymorph in this dataset is 0 meV per atom. The value obtained for the magnetic moment is 0.00 μB/f.u. The value obtained for the density is 7.76 g/cm³.

It has space group P4/nmm (No. 129, origin choice 2), with a = 4.0243 Å, b = 4.0243 Å, c = 8.8091 Å, α = 90.00°, β = 90.00° and γ = 90.00°. The asymmetric unit holds Nd at (0.2500, 0.2500, 0.1354), Tc at (0.2500, 0.7500, 0.5000), As at (0.2500, 0.2500, 0.6700) and O at (0.2500, 0.7500, 0.0000).

The following is a PBE-GGA calculation of crystalline PrNdCCl at its relaxed geometry, from the Open Quantum Materials Database.

The value obtained for the magnetic moment is 0.00 μB/f.u. The value obtained for the density is 6.15 g/cm³. As for the raw total energy: -6.161 eV/atom.

It has space group P-6m2 (No. 187), with a = 3.7899 Å, b = 3.7899 Å, c = 14.4510 Å, α = 90.00°, β = 90.00° and γ = 120.00°. The asymmetric unit holds Pr at (0.0000, 0.0000, 0.1546), Nd at (0.6667, 0.3333, 0.3465), C at (0.3333, 0.6667, 0.2524), Cl at (0.0000, 0.0000, 0.5000) and Cl at (0.6667, 0.3333, 0.0000).

The following is a PBE-GGA calculation of crystalline LiTcO4 at its relaxed geometry, from the Open Quantum Materials Database.

The energy above the most stable polymorph in this dataset is 0 meV per atom. The value obtained for the magnetic moment is 0.00 μB/f.u. The value obtained for the density is 3.55 g/cm³.

It has space group C2 (No. 5), with a = 10.9615 Å, b = 4.3589 Å, c = 6.8337 Å, α = 90.00°, β = 104.51° and γ = 90.00°. The asymmetric unit holds Li at (0.1018, 0.0000, 0.1809), Tc at (0.1832, 0.9320, 0.7253), O at (0.0863, 0.0410, 0.8829), O at (0.1215, 0.0366, 0.4759), O at (0.1598, 0.5433, 0.1859) and O at (0.1876, 0.5359, 0.7342).

The following is a PBE-GGA calculation of crystalline BaNbNiAu at its relaxed geometry, from the Open Quantum Materials Database.

The energy above the most stable polymorph in this dataset is 46 meV per atom. The value obtained for the magnetic moment is 0.02 μB/f.u. The value obtained for the density is 10.23 g/cm³.

It has space group F-43m (No. 216), with a = 6.8070 Å, b = 6.8070 Å, c = 6.8070 Å, α = 90.00°, β = 90.00° and γ = 90.00°. The asymmetric unit holds Ba at (0.0000, 0.0000, 0.0000), Nb at (0.2500, 0.2500, 0.2500), Ni at (0.2500, 0.2500, 0.7500) and Au at (0.0000, 0.0000, 0.5000).

The following is a PBE-GGA calculation of crystalline ZrSc2Cu4Ge4 at its relaxed geometry, from the Open Quantum Materials Database.

The value obtained for the magnetic moment is 0.00 μB/f.u. The value obtained for the density is 6.84 g/cm³. As for the raw total energy: -5.507 eV/atom.

It has space group Immm (No. 71), with a = 4.0291 Å, b = 6.5556 Å, c = 13.3338 Å, α = 90.00°, β = 90.00° and γ = 90.00°. The asymmetric unit holds Zr at (0.0000, 0.0000, 0.0000), Sc at (0.0000, 0.5000, 0.1264), Cu at (0.0000, 0.3070, 0.3289), Ge at (0.0000, 0.0000, 0.2174) and Ge at (0.0000, 0.1948, 0.5000).

The following is a PBE-GGA calculation of crystalline Zr3Cu2Au at its relaxed geometry, from the Open Quantum Materials Database.

The calculation puts the energy of formation at -234 meV per atom. The value obtained for the magnetic moment is 0.26 μB/f.u. The value obtained for the density is 8.98 g/cm³.

It has space group P4mm (No. 99), with a = 3.3368 Å, b = 3.3368 Å, c = 9.9249 Å, α = 90.00°, β = 90.00° and γ = 90.00°. The asymmetric unit holds Zr at (0.0000, 0.0000, 0.0000), Zr at (0.0000, 0.0000, 0.3294), Zr at (0.5000, 0.5000, 0.7955), Cu at (0.0000, 0.0000, 0.6391), Cu at (0.5000, 0.5000, 0.1593) and Au at (0.5000, 0.5000, 0.4978).

The following is a PBE-GGA calculation of crystalline SrGdPO at its relaxed geometry, from the Open Quantum Materials Database.

The energy above the most stable polymorph in this dataset is 75 meV per atom. The value obtained for the magnetic moment is 0.00 μB/f.u. The value obtained for the density is 5.07 g/cm³.

It has space group Pmc2_1 (No. 26), with a = 4.0899 Å, b = 6.6509 Å, c = 7.0345 Å, α = 90.00°, β = 90.00° and γ = 90.00°. The asymmetric unit holds Sr at (0.0000, 0.0495, 0.0000), Gd at (0.5000, 0.3777, 0.3537), P at (0.5000, 0.2305, 0.7276) and O at (0.0000, 0.2627, 0.2833).

The following is a PBE-GGA calculation of crystalline NbCl2 at its relaxed geometry, from the Open Quantum Materials Database.

The value obtained for the magnetic moment is 1.35 μB/f.u. The value obtained for the density is 1.71 g/cm³. As for the raw total energy: -4.836 eV/atom.

It has space group Fd-3m (No. 227, origin choice 2), with a = 10.8394 Å, b = 10.8394 Å, c = 10.8394 Å, α = 90.00°, β = 90.00° and γ = 90.00°. The asymmetric unit holds Nb at (0.1250, 0.1250, 0.1250) and Cl at (0.0000, 0.0000, 0.0000).

The following is a PBE-GGA calculation of crystalline PIrOsO at its relaxed geometry, from the Open Quantum Materials Database.

The energy above the most stable polymorph in this dataset is 0 meV per atom. The value obtained for the magnetic moment is 0.00 μB/f.u. The value obtained for the density is 11.81 g/cm³.

It has space group Pmc2_1 (No. 26), with a = 2.8457 Å, b = 6.5692 Å, c = 6.4582 Å, α = 90.00°, β = 90.00° and γ = 90.00°. The asymmetric unit holds P at (0.0000, 0.1566, 0.0000), Ir at (0.5000, 0.2023, 0.2706), Os at (0.0000, 0.1623, 0.6495) and O at (0.5000, 0.3638, 0.5524).

The following is a PBE-GGA calculation of crystalline Ba2GeIrS6 at its relaxed geometry, from the Open Quantum Materials Database.

The value obtained for the magnetic moment is 1.08 μB/f.u. The value obtained for the density is 5.26 g/cm³. As for the raw total energy: -4.971 eV/atom.

It has space group Fm-3m (No. 225), with a = 9.7396 Å, b = 9.7396 Å, c = 9.7396 Å, α = 90.00°, β = 90.00° and γ = 90.00°. The asymmetric unit holds Ba at (0.2500, 0.2500, 0.2500), Ge at (0.0000, 0.0000, 0.0000), Ir at (0.0000, 0.0000, 0.5000) and S at (0.0000, 0.0000, 0.2548).